Ag2C: relaxed, GGA-PBE.

The structure in CIF format:
```
data_Ag2C
_chemical_formula_sum 'Ag4 C2'
_space_group_name_H-M_alt 'P 42/m n m'
_space_group_IT_number 136
_space_group_name_Hall '-P 4n 2n'
_cell_length_a 5.660
_cell_length_b 5.660
_cell_length_c 2.882
_cell_angle_alpha 90.00
_cell_angle_beta 90.00
_cell_angle_gamma 90.00
loop_
_atom_site_label
_atom_site_type_symbol
_atom_site_fract_x
_atom_site_fract_y
_atom_site_fract_z
Ag1 Ag 0.226 0.226 0.000
C1 C 0.000 0.000 0.500
```

Summary:
**Calculated formation energy**: 1.403 eV/atom
**Energy above the lowest structure with this stoichiometry**: 0.777 eV/atom